Run w
# KSb3Os

A relaxed structure of KSb3Os (PBE, Alexandria via LeMat-Bulk).

Values from the calculation:
space group = No. 221

The structure in POSCAR format:
```
KSb3Os
1.0
5.4492 0.0000 0.0000
0.0000 5.4492 0.0000
0.0000 0.0000 5.4492
K Sb Os
1 3 1
Cartesian
0.0000 0.0000 0.0000
0.0000 0.0000 2.7246
0.0000 2.7246 0.0000
2.7246 0.0000 0.0000
2.7246 2.7246 2.7246
```

Run x
# KSb3Os

A relaxed structure of KSb3Os (PBE, Alexandria via LeMat-Bulk).

Values from the calculation:
space group = No. 221

The structure in POSCAR format:
```
KSb3Os
1.0
5.3067 0.0000 0.0000
0.0000 5.3067 0.0000
0.0000 0.0000 5.3067
K Sb Os
1 3 1
Cartesian
0.0000 0.0000 0.0000
0.0000 2.6533 2.6533
2.6533 0.0000 2.6533
2.6533 2.6533 0.0000
2.6533 2.6533 2.6533
```

Which one is most stable, and which one is least stable? run x is the most stable of them, while run w is the least stable.

Run w
# KSbOs

A relaxed structure of KSbOs (PBE, Alexandria via LeMat-Bulk).

Values from the calculation:
space group = No. 107

The structure in POSCAR format:
```
KSbOs
1.0
3.3885 0.0000 0.0000
0.0000 3.3885 0.0000
0.0000 0.0000 13.0113
K Sb Os
2 2 2
Cartesian
0.0000 0.0000 0.0000
1.6942 1.6942 6.5057
0.0000 0.0000 3.7037
1.6942 1.6942 10.2093
0.0000 0.0000 9.0281
1.6942 1.6942 2.5225
```

Run x
# KSbOs

A relaxed structure of KSbOs (PBE, Alexandria via LeMat-Bulk).

Values from the calculation:
space group = No. 156

The structure in POSCAR format:
```
KSbOs
1.0
3.3144 0.0000 0.0000
-1.6572 2.8704 0.0000
0.0000 0.0000 7.7037
K Sb Os
1 1 1
Cartesian
0.0000 0.0000 0.0000
1.6572 0.9568 4.5891
0.0000 1.9136 2.7766
```

Run y
# KSbOs

A relaxed structure of KSbOs (PBE, Alexandria via LeMat-Bulk).

Values from the calculation:
space group = No. 187

The structure in POSCAR format:
```
KSbOs
1.0
5.1622 0.0000 0.0000
-2.5811 4.4706 0.0000
0.0000 0.0000 2.8882
K Sb Os
1 1 1
Cartesian
0.0000 0.0000 0.0000
0.0000 2.9804 1.4441
2.5811 1.4902 1.4441
```

Which one is most stable, and which one is least stable? run w is the most stable of them, while run y is the least stable.

Run w
# K2ScOs

A relaxed structure of K2ScOs (PBE, Alexandria via LeMat-Bulk).

Values from the calculation:
space group = No. 122

The structure in POSCAR format:
```
K2ScOs
1.0
4.0416 0.0000 0.0000
0.0000 4.0416 0.0000
0.0000 0.0000 24.8472
K Sc Os
8 4 4
Cartesian
0.9894 1.0104 3.1059
1.0104 3.0102 9.3177
1.0104 3.0522 21.7413
1.0314 1.0104 15.5295
3.0102 3.0312 15.5295
3.0312 0.9894 21.7413
3.0312 1.0314 9.3177
3.0522 3.0312 3.1059
0.0000 0.0000 12.4236
0.0000 2.0208 18.6354
2.0208 0.0000 6.2118
2.0208 2.0208 0.0000
0.0000 0.0000 0.0000
0.0000 2.0208 6.2118
2.0208 0.0000 18.6354
2.0208 2.0208 12.4236
```

Run x
# K2ScOs

A relaxed structure of K2ScOs (PBE, Alexandria via LeMat-Bulk).

Values from the calculation:
space group = No. 139

The structure in POSCAR format:
```
K2ScOs
1.0
4.0857 0.0000 0.0000
0.0000 4.0857 0.0000
0.0000 0.0000 12.0233
K Sc Os
4 2 2
Cartesian
0.0000 2.0429 3.0058
0.0000 2.0429 9.0175
2.0429 0.0000 3.0058
2.0429 0.0000 9.0175
0.0000 0.0000 0.0000
2.0429 2.0429 6.0116
0.0000 0.0000 6.0116
2.0429 2.0429 0.0000
```

Which one is most stable, and which one is least stable? run x is the most stable of them, while run w is the least stable.

Run w
# KScOs3

A relaxed structure of KScOs3 (PBE, Alexandria via LeMat-Bulk).

Values from the calculation:
space group = No. 221

The structure in POSCAR format:
```
KScOs3
1.0
4.8502 0.0000 0.0000
0.0000 4.8502 0.0000
0.0000 0.0000 4.8502
K Sc Os
1 1 3
Cartesian
0.0000 0.0000 0.0000
2.4251 2.4251 2.4251
0.0000 2.4251 2.4251
2.4251 0.0000 2.4251
2.4251 2.4251 0.0000
```

Run x
# KScOs3

A relaxed structure of KScOs3 (PBE, Alexandria via LeMat-Bulk).

Values from the calculation:
space group = No. 221

The structure in POSCAR format:
```
KScOs3
1.0
4.5814 0.0000 0.0000
0.0000 4.5814 0.0000
0.0000 0.0000 4.5814
K Sc Os
1 1 3
Cartesian
0.0000 0.0000 0.0000
2.2907 2.2907 2.2907
0.0000 0.0000 2.2907
0.0000 2.2907 0.0000
2.2907 0.0000 0.0000
```

Which one is most stable, and which one is least stable? run w is the most stable of them, while run x is the least stable.

Run w
# KScOs2

A relaxed structure of KScOs2 (PBE, Alexandria via LeMat-Bulk).

Values from the calculation:
space group = No. 47

The structure in POSCAR format:
```
KScOs2
1.0
2.8393 0.0000 0.0000
0.0000 4.3434 0.0000
0.0000 0.0000 7.4892
K Sc Os
1 1 2
Cartesian
0.0000 0.0000 0.0000
0.0000 0.0000 3.7446
1.4196 2.1717 2.5618
1.4196 2.1717 4.9274
```

Run x
# KScOs2

A relaxed structure of KScOs2 (PBE, Alexandria via LeMat-Bulk).

Values from the calculation:
space group = No. 47

The structure in POSCAR format:
```
KScOs2
1.0
2.9898 0.0000 0.0000
0.0000 4.7252 0.0000
0.0000 0.0000 4.9730
K Sc Os
1 1 2
Cartesian
0.0000 0.0000 0.0000
1.4949 2.3626 0.0000
0.0000 2.3626 2.4865
1.4949 0.0000 2.4865
```

Which one is most stable, and which one is least stable? run w is the most stable of them, while run x is the least stable.

Run w
# KScOs2

A relaxed structure of KScOs2 (PBE, Alexandria via LeMat-Bulk).

Values from the calculation:
space group = No. 166

The structure in POSCAR format:
```
KScOs2
1.0
2.9480 0.0000 0.0000
-1.4740 2.5530 0.0000
0.0000 0.0000 29.5780
K Sc Os
3 3 6
Cartesian
0.0000 0.0000 0.0000
0.0000 1.7020 19.7187
1.4740 0.8510 9.8593
0.0000 0.0000 14.7890
0.0000 1.7020 4.9297
1.4740 0.8510 24.6483
0.0000 0.0000 7.0407
0.0000 0.0000 22.5372
0.0000 1.7020 12.6779
0.0000 1.7020 26.7594
1.4740 0.8510 2.8186
1.4740 0.8510 16.9001
```

Run x
# KScOs2

A relaxed structure of KScOs2 (PBE, Alexandria via LeMat-Bulk).

Values from the calculation:
space group = No. 65

The structure in POSCAR format:
```
KScOs2
1.0
5.8171 0.0000 0.0000
0.0000 9.7253 0.0000
0.0000 0.0000 2.6059
K Sc Os
2 2 4
Cartesian
0.0000 0.0000 0.0000
2.9085 4.8626 0.0000
0.0000 4.8626 0.0000
2.9085 0.0000 0.0000
1.4543 2.4313 1.3029
1.4543 7.2940 1.3029
4.3628 2.4313 1.3029
4.3628 7.2940 1.3029
```

Which one is most stable, and which one is least stable? run w is the most stable of them, while run x is the least stable.

Run w
# KScOs2

A relaxed structure of KScOs2 (PBE, Alexandria via LeMat-Bulk).

Values from the calculation:
space group = No. 12

The structure in POSCAR format:
```
KScOs2
1.0
9.2994 0.0000 0.0000
0.0000 2.8874 0.0000
-0.6096 0.0000 7.1226
K Sc Os
2 2 4
Cartesian
0.0000 0.0000 0.0000
4.6497 1.4437 0.0000
-0.3048 1.4437 3.5613
4.3449 0.0000 3.5613
1.7726 0.0000 4.5850
2.2675 1.4437 2.5376
6.4223 1.4437 4.5850
6.9173 0.0000 2.5376
```

Run x
# KScOs2

A relaxed structure of KScOs2 (PBE, Alexandria via LeMat-Bulk).

Values from the calculation:
space group = No. 123

The structure in POSCAR format:
```
KScOs2
1.0
2.8067 0.0000 0.0000
0.0000 2.8067 0.0000
0.0000 0.0000 9.7018
K Sc Os
1 1 2
Cartesian
0.0000 0.0000 0.0000
0.0000 0.0000 4.8509
1.4033 1.4033 2.8077
1.4033 1.4033 6.8940
```

Run y
# KScOs2

A relaxed structure of KScOs2 (PBE, Alexandria via LeMat-Bulk).

Values from the calculation:
space group = No. 216

The structure in POSCAR format:
```
KScOs2
1.0
6.6086 0.0000 0.0000
0.0000 6.6086 0.0000
0.0000 0.0000 6.6086
K Sc Os
4 4 8
Cartesian
0.0000 0.0000 0.0000
0.0000 3.3043 3.3043
3.3043 0.0000 3.3043
3.3043 3.3043 0.0000
1.6522 1.6522 4.9565
1.6522 4.9565 1.6522
4.9565 1.6522 1.6522
4.9565 4.9565 4.9565
0.0000 0.0000 3.3043
0.0000 3.3043 0.0000
1.6522 1.6522 1.6522
1.6522 4.9565 4.9565
3.3043 0.0000 0.0000
3.3043 3.3043 3.3043
4.9565 1.6522 4.9565
4.9565 4.9565 1.6522
```

Run z
# KScOs2

A relaxed structure of KScOs2 (PBE, Alexandria via LeMat-Bulk).

Values from the calculation:
space group = No. 123

The structure in POSCAR format:
```
KScOs2
1.0
3.8814 0.0000 0.0000
0.0000 3.8814 0.0000
0.0000 0.0000 4.8088
K Sc Os
1 1 2
Cartesian
0.0000 0.0000 0.0000
1.9407 1.9407 0.0000
0.0000 1.9407 2.4044
1.9407 0.0000 2.4044
```

Which one is most stable, and which one is least stable? run x is the most stable of them, while run z is the least stable.

Run w
# KScOs2

A relaxed structure of KScOs2 (PBE, Alexandria via LeMat-Bulk).

Values from the calculation:
space group = No. 99

The structure in POSCAR format:
```
KScOs2
1.0
2.9265 0.0000 0.0000
0.0000 2.9265 0.0000
0.0000 0.0000 10.0205
K Sc Os
1 1 2
Cartesian
0.0000 0.0000 0.0000
1.4632 1.4632 6.3418
0.0000 0.0000 4.3850
1.4632 1.4632 2.7830
```

Run x
# KScOs2

A relaxed structure of KScOs2 (PBE, Alexandria via LeMat-Bulk).

Values from the calculation:
space group = No. 10

The structure in POSCAR format:
```
KScOs2
1.0
2.8177 0.0000 0.0000
0.0000 4.5690 0.0000
-0.7296 0.0000 7.1430
K Sc Os
1 1 2
Cartesian
0.0000 0.0000 0.0000
1.0440 0.0000 3.5715
0.2406 2.2845 4.6529
1.8474 2.2845 2.4901
```

Which one is most stable, and which one is least stable? run w is the most stable of them, while run x is the least stable.